# PuAlCr2O6 | Alexandria via LeMat-Bulk | PBE+U | relaxed
# crystal system	triclinic
# M_tot	1.100	μB per atom
# E	-8.650	eV/atom
data_PuAlCr2O6
_symmetry_space_group_name_H-M 'P 1'
_symmetry_Int_Tables_number 1
_cell_length_a 5.179
_cell_length_b 5.259
_cell_length_c 5.762
_cell_angle_alpha 61.05
_cell_angle_beta 63.04
_cell_angle_gamma 60.44
loop_
_symmetry_equiv_pos_as_xyz
'x,y,z'
loop_
_atom_site_label
_atom_site_fract_x
_atom_site_fract_y
_atom_site_fract_z
O1 0.713 0.145 0.761
O2 0.599 0.207 0.228
O3 0.225 0.944 0.233
O4 0.945 0.595 0.230
O5 0.377 0.716 0.791
O6 0.140 0.387 0.767
Cr1 0.530 0.521 0.428
Cr2 0.011 0.010 0.967
Al1 0.318 0.323 0.039
Pu1 0.803 0.813 0.573